# LiCoC2O6

LiCoC2O6 after structural relaxation (PBE with a Hubbard U, the Alexandria database). Values from VASP.

Geometry as Quantum ESPRESSO input:
```
&SYSTEM
  ibrav = 0, nat = 40, ntyp = 4
/
ATOMIC_SPECIES
O 16.00 O.upf
C 12.01 C.upf
Co 58.93 Co.upf
Li 6.94 Li.upf
CELL_PARAMETERS angstrom
-0.137 -4.545 -0.684
3.753 1.603 3.994
-11.887 -3.594 9.802
ATOMIC_POSITIONS crystal
O 0.981 0.148 0.879
C 0.631 0.826 0.558
C 0.869 0.424 0.692
Co 0.250 0.625 0.125
O 0.476 0.896 0.626
C 0.135 0.078 0.810
C 0.862 0.912 0.187
O 0.519 0.102 0.371
C 0.638 0.338 0.063
O 0.088 0.172 0.435
O 0.406 0.575 0.311
O 0.412 0.078 0.815
O 0.907 0.826 0.563
O 0.920 0.342 0.067
O 0.528 0.608 0.876
O 0.509 0.253 0.992
O 0.482 0.407 0.130
O 0.002 0.499 0.762
O 0.593 0.424 0.687
C 0.367 0.671 0.944
Co 0.754 0.376 0.877
O 0.498 0.751 0.488
O 0.002 0.002 0.740
Li 0.502 0.750 0.752
O 0.496 0.737 0.015
O 0.023 0.354 0.624
O 0.498 0.248 0.510
Li 0.998 0.500 0.498
Co 0.746 0.874 0.373
O 0.094 0.675 0.939
O 0.580 0.908 0.183
Li 0.494 0.252 0.246
O 0.991 0.997 0.258
O 0.018 0.843 0.120
O 0.972 0.642 0.374
Li 0.006 0.998 0.004
Co 0.250 0.125 0.625
C 0.133 0.579 0.306
C 0.365 0.172 0.440
O 0.004 0.513 0.235
```

Properties
SG: P-1 (2)
Distance to the lowest polymorph of the same formula: 0 kJ/mol of formula units
Mass density: 3.29 g cm⁻³
DFT total energy: -0.507 Ry/atom